Entry 1:
The following is a DFT calculation (PBE) of a geometry-optimized HfPt2Br structure.

a = 6.6759 Å, b = 6.6759 Å, c = 8.9706 Å
α = 90.00°, β = 90.00°, γ = 90.00°
Fractional coordinates of all 16 atoms:
1 Hf 0.0000 0.0000 0.0000
2 Hf 0.0000 0.5000 0.2500
3 Hf 0.5000 0.0000 0.7500
4 Hf 0.5000 0.5000 0.5000
5 Pt 0.2375 0.2500 0.1250
6 Pt 0.2500 0.7375 0.3750
7 Pt 0.2500 0.7625 0.8750
8 Pt 0.2625 0.2500 0.6250
9 Pt 0.7375 0.7500 0.6250
10 Pt 0.7500 0.2375 0.8750
11 Pt 0.7500 0.2625 0.3750
12 Pt 0.7625 0.7500 0.1250
13 Br 0.0000 0.0000 0.5000
14 Br 0.0000 0.5000 0.7500
15 Br 0.5000 0.0000 0.2500
16 Br 0.5000 0.5000 0.0000

Formation energy (no corrections) ... -0.058 eV per atom
Total magnetic moment ... 0.00 μB/f.u.

***

Entry 2:
The following is a DFT calculation (PBE) of a geometry-optimized Tm5N4 structure.

a = 7.2222 Å, b = 7.2222 Å, c = 7.2222 Å
α = 92.60°, β = 92.60°, γ = 155.41°
Fractional coordinates of all 9 atoms:
1 Tm 0.0000 0.0000 0.0000
2 Tm 0.0000 0.2652 0.2652
3 Tm 0.0000 0.7348 0.7348
4 Tm 0.2652 0.0000 0.2652
5 Tm 0.7348 0.0000 0.7348
6 N 0.3595 0.3595 0.7190
7 N 0.3595 0.6405 0.0000
8 N 0.6405 0.3595 0.0000
9 N 0.6405 0.6405 0.2810

Formation energy (no corrections) ... -0.436 eV per atom
Total magnetic moment ... 0.00 μB/f.u.

***

| no. | energy above the most stable polymorph in this dataset (eV/atom) |
| --- | --- |
| 1 | 0.0629 |
| 2 | 0.8426 |